Record 1
# CeNdOs PBE relaxed
data_CeNdOs
_symmetry_space_group_name_H-M 'P 1'
_symmetry_Int_Tables_number 1
_symmetry_space_group_name_Hall 'P 1'
_cell_length_a 4.307
_cell_length_b 6.142
_cell_length_c 6.611
_cell_angle_alpha 106.78
_cell_angle_beta 90.00
_cell_angle_gamma 90.00
loop_
_atom_site_label
_atom_site_type_symbol
_atom_site_fract_x
_atom_site_fract_y
_atom_site_fract_z
_atom_site_occupancy
Ce1 Ce 0.752 0.988 0.802 1
Ce2 Ce 0.252 0.019 0.201 1
Nd1 Nd 0.752 0.568 0.292 1
Nd2 Nd 0.252 0.440 0.711 1
Os1 Os 0.752 0.149 0.448 1
Os2 Os 0.252 0.858 0.555 1
# Energy of formation from the pure elements ... -0.11 eV per atom
# DOS(E_F) ... 9.3 states/eV per cell
# VASP energy ... -7.42 eV/atom

=====

Record 2
# RbSiGeO2 PBE relaxed
data_RbSiGeO2
_symmetry_space_group_name_H-M 'P 1'
_symmetry_Int_Tables_number 1
_symmetry_space_group_name_Hall 'P 1'
_cell_length_a 4.316
_cell_length_b 5.917
_cell_length_c 4.316
_cell_angle_alpha 90.00
_cell_angle_beta 90.00
_cell_angle_gamma 90.00
loop_
_atom_site_label
_atom_site_type_symbol
_atom_site_fract_x
_atom_site_fract_y
_atom_site_fract_z
_atom_site_occupancy
O1 O 0.000 0.000 0.500 1
O2 O 0.500 0.000 0.000 1
Ge1 Ge 0.500 0.500 0.500 1
Si1 Si 0.000 0.500 0.000 1
Rb1 Rb 0.000 0.000 0.000 1
# DOS(E_F) ... 7.3 states/eV per cell
# VASP energy ... -2.90 eV/atom

=====

Record 3
# CsK7RbNa2 PBE relaxed
data_CsK7RbNa2
_symmetry_space_group_name_H-M 'P 1'
_symmetry_Int_Tables_number 1
_symmetry_space_group_name_Hall 'P 1'
_cell_length_a 6.895
_cell_length_b 6.895
_cell_length_c 19.276
_cell_angle_alpha 90.00
_cell_angle_beta 90.00
_cell_angle_gamma 90.00
loop_
_atom_site_label
_atom_site_type_symbol
_atom_site_fract_x
_atom_site_fract_y
_atom_site_fract_z
_atom_site_occupancy
Cs1 Cs 0.000 0.000 0.500 1
K1 K 0.500 0.500 0.607 1
K2 K 0.000 0.500 0.245 1
K3 K 0.500 0.000 0.245 1
K4 K 0.000 0.500 0.755 1
K5 K 0.500 0.000 0.755 1
K6 K 0.500 0.500 0.393 1
K7 K 0.500 0.500 0.000 1
Rb1 Rb 0.000 0.000 0.000 1
Na1 Na 0.500 0.500 0.180 1
Na2 Na 0.500 0.500 0.820 1
# Energy of formation from the pure elements ... 0.11 eV per atom
# DOS(E_F) ... 8.2 states/eV per cell
# VASP energy ... -0.99 eV/atom